## i
# ZnNiPd PBE-GGA relaxed
data_ZnNiPd
_space_group_name_H-M_alt 'P 3 m 1'
_space_group_IT_number 156
_cell_length_a 4.1632
_cell_length_b 4.1632
_cell_length_c 2.6882
_cell_angle_alpha 90.00
_cell_angle_beta 90.00
_cell_angle_gamma 120.00
loop_
_space_group_symop_operation_xyz
'x,y,z'
'-y,x-y,z'
'-x+y,-x,z'
'-y,-x,z'
'-x+y,y,z'
'x,x-y,z'
loop_
_atom_site_label
_atom_site_type_symbol
_atom_site_fract_x
_atom_site_fract_y
_atom_site_fract_z
Zn1 Zn 0.0000 0.0000 0.0000
Ni1 Ni 0.6667 0.3333 0.1718
Pd1 Pd 0.3333 0.6667 0.5978
# - Size of the total moment: 0.04 μB per cell

---

## ii
# ZnNiPd PBE-GGA relaxed
data_ZnNiPd
_space_group_name_H-M_alt 'I 4 m m'
_space_group_IT_number 107
_space_group_name_Hall 'I 4 -2'
_cell_length_a 2.631
_cell_length_b 2.631
_cell_length_c 13.540
_cell_angle_alpha 90.00
_cell_angle_beta 90.00
_cell_angle_gamma 90.00
loop_
_atom_site_label
_atom_site_type_symbol
_atom_site_fract_x
_atom_site_fract_y
_atom_site_fract_z
Zn1 Zn 0.000 0.000 0.000
Ni1 Ni 0.000 0.000 0.175
Pd1 Pd 0.000 0.000 0.360
# - Size of the total moment: 1.10 μB per cell

---

Which structure loses on stability? ii does.

---

## i
# ZnNiPd PBE-GGA relaxed
data_ZnNiPd
_space_group_name_H-M_alt 'C 1 2/m 1'
_space_group_IT_number 12
_cell_length_a 8.660
_cell_length_b 3.562
_cell_length_c 5.521
_cell_angle_alpha 90.00
_cell_angle_beta 109.27
_cell_angle_gamma 90.00
loop_
_space_group_symop_operation_xyz
'x,y,z'
'-x,-y,-z'
'-x,y,-z'
'x,-y,z'
'x+1/2,y+1/2,z'
'-x+1/2,-y+1/2,-z'
'-x+1/2,y+1/2,-z'
'x+1/2,-y+1/2,z'
loop_
_atom_site_label
_atom_site_type_symbol
_atom_site_fract_x
_atom_site_fract_y
_atom_site_fract_z
Zn1 Zn 0.001 0.000 0.239
Ni1 Ni 0.160 0.500 0.073
Pd1 Pd 0.167 0.500 0.599
# - Size of the total moment: 0.01 μB per cell

---

## ii
# ZnNiPd PBE-GGA relaxed
data_ZnNiPd
_space_group_name_H-M_alt 'P 1 2/m 1'
_space_group_IT_number 10
_cell_length_a 4.153
_cell_length_b 2.670
_cell_length_c 4.341
_cell_angle_alpha 90.00
_cell_angle_beta 102.72
_cell_angle_gamma 90.00
loop_
_space_group_symop_operation_xyz
'x,y,z'
'-x,-y,-z'
'-x,y,-z'
'x,-y,z'
loop_
_atom_site_label
_atom_site_type_symbol
_atom_site_fract_x
_atom_site_fract_y
_atom_site_fract_z
Zn1 Zn 0.000 0.000 0.000
Ni1 Ni 0.500 0.500 0.000
Pd1 Pd 0.500 0.000 0.500
# - Size of the total moment: 0.00 μB per cell

---

## iii
# ZnNiPd PBE-GGA relaxed
data_ZnNiPd
_space_group_name_H-M_alt 'I 4/m m m'
_space_group_IT_number 139
_space_group_name_Hall '-I 4 2'
_cell_length_a 2.793
_cell_length_b 2.793
_cell_length_c 21.335
_cell_angle_alpha 90.00
_cell_angle_beta 90.00
_cell_angle_gamma 90.00
loop_
_atom_site_label
_atom_site_type_symbol
_atom_site_fract_x
_atom_site_fract_y
_atom_site_fract_z
Zn1 Zn 0.000 0.000 0.143
Ni1 Ni 0.000 0.000 0.285
Pd1 Pd 0.000 0.000 0.438
# - Size of the total moment: 0.00 μB per cell

---

Which structure loses on stability? ii does.

---

## i
# Zn2NiPd6 PBE-GGA relaxed
data_Zn2NiPd6
_space_group_name_H-M_alt 'P 42/m n m'
_space_group_IT_number 136
_space_group_name_Hall '-P 4n 2n'
_cell_length_a 8.042
_cell_length_b 8.042
_cell_length_c 4.064
_cell_angle_alpha 90.00
_cell_angle_beta 90.00
_cell_angle_gamma 90.00
loop_
_atom_site_label
_atom_site_type_symbol
_atom_site_fract_x
_atom_site_fract_y
_atom_site_fract_z
Zn1 Zn 0.187 0.187 0.000
Ni1 Ni 0.000 0.000 0.500
Pd1 Pd 0.017 0.325 0.500
Pd2 Pd 0.138 0.862 0.000
# - Size of the total moment: 1.88 μB per cell

---

## ii
# Zn2NiPd6 PBE-GGA relaxed
data_Zn2NiPd6
_space_group_name_H-M_alt 'F m m m'
_space_group_IT_number 69
_space_group_name_Hall '-F 2 2'
_cell_length_a 4.033
_cell_length_b 10.703
_cell_length_c 12.143
_cell_angle_alpha 90.00
_cell_angle_beta 90.00
_cell_angle_gamma 90.00
loop_
_atom_site_label
_atom_site_type_symbol
_atom_site_fract_x
_atom_site_fract_y
_atom_site_fract_z
Zn1 Zn 0.000 0.000 0.162
Ni1 Ni 0.000 0.000 0.500
Pd1 Pd 0.000 0.157 0.333
Pd2 Pd 0.000 0.159 0.000
# - Size of the total moment: 4.04 μB per cell

---

Which structure loses on stability? ii does.

---

## i
# Zn2NiPd2 PBE-GGA relaxed
data_Zn2NiPd2
_space_group_name_H-M_alt 'C m m m'
_space_group_IT_number 65
_space_group_name_Hall '-C 2 2'
_cell_length_a 2.855
_cell_length_b 17.336
_cell_length_c 2.867
_cell_angle_alpha 90.00
_cell_angle_beta 90.00
_cell_angle_gamma 90.00
loop_
_atom_site_label
_atom_site_type_symbol
_atom_site_fract_x
_atom_site_fract_y
_atom_site_fract_z
Zn1 Zn 0.000 0.087 0.000
Ni1 Ni 0.000 0.500 0.500
Pd1 Pd 0.000 0.318 0.500
# - Size of the total moment: 0.00 μB per cell

---

## ii
# Zn2NiPd2 PBE-GGA relaxed
data_Zn2NiPd2
_space_group_name_H-M_alt 'P 4/m b m'
_space_group_IT_number 127
_space_group_name_Hall '-P 4 2ab'
_cell_length_a 6.304
_cell_length_b 6.304
_cell_length_c 3.638
_cell_angle_alpha 90.00
_cell_angle_beta 90.00
_cell_angle_gamma 90.00
loop_
_atom_site_label
_atom_site_type_symbol
_atom_site_fract_x
_atom_site_fract_y
_atom_site_fract_z
Zn1 Zn 0.140 0.360 0.000
Ni1 Ni 0.000 0.000 0.000
Pd1 Pd 0.165 0.665 0.500
# - Size of the total moment: 0.00 μB per cell

---

## iii
# Zn2NiPd2 PBE-GGA relaxed
data_Zn2NiPd2
_space_group_name_H-M_alt 'P 4/m b m'
_space_group_IT_number 127
_space_group_name_Hall '-P 4 2ab'
_cell_length_a 7.135
_cell_length_b 7.135
_cell_length_c 2.925
_cell_angle_alpha 90.00
_cell_angle_beta 90.00
_cell_angle_gamma 90.00
loop_
_atom_site_label
_atom_site_type_symbol
_atom_site_fract_x
_atom_site_fract_y
_atom_site_fract_z
Zn1 Zn 0.161 0.339 0.000
Ni1 Ni 0.000 0.000 0.500
Pd1 Pd 0.139 0.639 0.500
# - Size of the total moment: 0.00 μB per cell

---

Which structure loses on stability? iii does.